(1)
! Cs2Cu2SnCl6, optimized geometry, DFT PBE; values from VASP
! - Total energy: -3.447 eV per atom
! - Formation energy (no corrections): -1176 meV per atom
&SYSTEM
  ibrav = 0, nat = 11, ntyp = 4
/
ATOMIC_SPECIES
Cl 35.45 Cl.upf
Sn 118.71 Sn.upf
Cs 132.91 Cs.upf
Cu 63.55 Cu.upf
ATOMIC_POSITIONS angstrom
Cl -1.143 -2.030 -1.784
Cl 0.974 -5.235 -2.321
Cl -4.292 0.678 -4.245
Cl -6.178 1.298 -0.913
Cl -6.410 3.884 -3.708
Cl 0.743 -2.649 -5.116
Sn -4.182 2.770 -2.319
Cs -0.674 0.698 -4.526
Cs -4.762 -2.050 -1.503
Cu -4.139 -0.978 -5.790
Cu -1.296 -0.374 -0.239
CELL_PARAMETERS angstrom
-0.465 5.193 -5.613
2.929 -6.892 -1.391
-7.900 0.347 0.975

---

(2)
! CsCu2SnCl8, optimized geometry, DFT PBE; values from VASP
! - Total energy: -3.234 eV per atom
! - Formation energy (no corrections): -916 meV per atom
&SYSTEM
  ibrav = 0, nat = 12, ntyp = 4
/
ATOMIC_SPECIES
Cl 35.45 Cl.upf
Cs 132.91 Cs.upf
Cu 63.55 Cu.upf
Sn 118.71 Sn.upf
ATOMIC_POSITIONS angstrom
Cl 4.443 4.492 5.827
Cl 2.919 5.118 2.678
Cl 9.469 9.377 9.197
Cl 1.634 1.498 0.916
Cl 5.286 7.742 7.740
Cl 6.660 6.383 4.285
Cl 5.817 3.133 2.372
Cl 8.184 5.757 7.434
Cs 0.611 0.811 4.196
Cu 6.107 5.826 6.473
Cu 4.996 5.049 3.639
Sn 0.000 0.000 0.000
CELL_PARAMETERS angstrom
7.588 2.308 0.752
2.292 6.946 0.969
1.223 1.622 8.392

---

(3)
! Cs4CuSn3Cl12, optimized geometry, DFT PBE; values from VASP
! - Total energy: -3.437 eV per atom
! - Formation energy (no corrections): -1353 meV per atom
&SYSTEM
  ibrav = 0, nat = 20, ntyp = 4
/
ATOMIC_SPECIES
Cl 35.45 Cl.upf
Sn 118.71 Sn.upf
Cs 132.91 Cs.upf
Cu 63.55 Cu.upf
ATOMIC_POSITIONS angstrom
Cl 1.505 2.129 0.000
Cl 1.505 -1.064 1.844
Cl 1.570 -1.110 5.768
Cl -1.570 1.110 5.768
Cl -1.505 1.064 1.844
Cl 4.774 -3.375 5.847
Cl 4.709 0.000 3.845
Cl 4.774 6.751 0.000
Cl -1.570 4.440 3.845
Cl 4.709 3.330 1.923
Cl -4.774 3.375 5.847
Cl 1.570 5.550 1.923
Sn 3.140 4.440 0.000
Sn 3.140 -2.220 3.845
Sn -3.140 2.220 3.845
Cs 1.570 2.220 3.845
Cs 4.709 0.000 0.000
Cs -1.570 4.440 0.000
Cs -1.570 -2.220 3.845
Cu 0.000 0.000 0.000
CELL_PARAMETERS angstrom
9.419 0.000 0.000
-3.140 8.880 0.000
-3.140 -4.440 7.690

---

(4)
! CsCu4Sn3Cl12, optimized geometry, DFT PBE; values from VASP
! - Total energy: -3.428 eV per atom
! - Formation energy (no corrections): -858 meV per atom
&SYSTEM
  ibrav = 0, nat = 20, ntyp = 4
/
ATOMIC_SPECIES
Sn 118.71 Sn.upf
Cu 63.55 Cu.upf
Cl 35.45 Cl.upf
Cs 132.91 Cs.upf
ATOMIC_POSITIONS angstrom
Sn 2.691 -1.680 4.566
Sn 4.072 3.783 -0.143
Sn -2.279 3.630 3.542
Cu 7.076 -0.914 3.983
Cu 2.242 2.867 3.983
Cu 2.242 7.847 0.398
Cu -2.592 1.667 7.568
Cl 5.389 -1.820 5.059
Cl 0.492 4.235 3.983
Cl -2.453 6.538 3.983
Cl 6.937 4.032 0.501
Cl 2.242 -1.970 7.464
Cl 3.918 6.526 -0.120
Cl 0.566 7.918 1.815
Cl -0.905 0.359 8.085
Cl -3.065 3.276 6.150
Cl 7.549 0.941 2.907
Cl 2.242 1.064 5.280
Cl 3.992 3.301 2.685
Cs 0.000 0.000 0.000
CELL_PARAMETERS angstrom
9.041 -0.103 -0.143
-2.279 8.750 -0.143
-2.279 -2.913 8.252

---

(5)
! CsCu2SnCl6, optimized geometry, DFT PBE; values from VASP
! - Total energy: -3.337 eV per atom
! - Formation energy (no corrections): -924 meV per atom
&SYSTEM
  ibrav = 0, nat = 20, ntyp = 4
/
ATOMIC_SPECIES
Cu 63.55 Cu.upf
Sn 118.71 Sn.upf
Cl 35.45 Cl.upf
Cs 132.91 Cs.upf
ATOMIC_POSITIONS angstrom
Cu -3.378 -1.141 -0.123
Cu -2.324 -5.066 4.021
Cu -6.137 -2.450 5.588
Cu -7.190 1.475 1.443
Sn -3.755 0.622 3.622
Sn -5.760 -4.213 1.842
Cl -4.585 1.629 5.938
Cl -7.594 -3.718 4.620
Cl -8.224 -3.693 0.992
Cl -1.921 0.127 0.844
Cl -5.332 -1.648 0.823
Cl -5.349 1.948 0.279
Cl -4.183 -1.943 4.641
Cl -1.291 0.102 4.472
Cl -4.166 -5.539 5.185
Cl -2.400 -4.254 2.021
Cl -7.115 0.663 3.443
Cl -4.930 -5.220 -0.474
Cs -2.639 -3.284 7.887
Cs -6.875 -0.307 -2.423
CELL_PARAMETERS angstrom
-0.892 3.593 8.115
-7.460 1.638 -4.606
-1.163 -8.823 1.956

---

(6)
! Cs2SrCu2Cl7, optimized geometry, DFT PBE; values from VASP
! - Total energy: -3.499 eV per atom
! - Formation energy (no corrections): -1456 meV per atom
&SYSTEM
  ibrav = 0, nat = 12, ntyp = 4
/
ATOMIC_SPECIES
Cl 35.45 Cl.upf
Cu 63.55 Cu.upf
Sr 87.62 Sr.upf
Cs 132.91 Cs.upf
ATOMIC_POSITIONS angstrom
Cl 2.510 2.507 4.774
Cl 5.011 5.005 8.234
Cl 2.519 2.516 0.011
Cl 2.488 5.001 10.911
Cl 5.033 2.511 2.097
Cl 5.004 2.482 10.911
Cl 2.517 5.030 2.097
Cu 2.515 2.512 2.399
Cu 5.006 5.000 10.610
Sr 0.000 0.000 0.000
Cs 5.028 5.022 4.667
Cs 2.493 2.490 8.341
CELL_PARAMETERS angstrom
5.035 -0.003 0.011
0.003 5.035 0.011
2.483 2.480 12.987

---

Q: Among the records above, which one has the lowest total energy?
A: Cs2SrCu2Cl7